No. 1
Here is a geometry-optimized TlZnRe structure from Alexandria via LeMat-Bulk. Energies are from GGA-PBE.

The formation energy is 730 meV per atom. Its energy relative to the lowest polymorph listed for this composition is 0 meV per atom.

It has space group P3m1 (No. 156), with a = 2.9676 Å, b = 2.9676 Å, c = 7.1866 Å, α = 90.00°, β = 90.00° and γ = 120.00°. The distinct sites, in fractional coordinates, are Tl at (0.0000, 0.0000, 0.0000), Zn at (0.6667, 0.3333, 0.3653) and Re at (0.3333, 0.6667, 0.6497).



No. 2
Here is a geometry-optimized Pa2In9Bi structure from Alexandria via LeMat-Bulk. Energies are from GGA-PBE.

The formation energy is -26 meV per atom.

It has space group P4/mmm (No. 123), with a = 4.6857 Å, b = 4.6857 Å, c = 14.2639 Å, α = 90.00°, β = 90.00° and γ = 90.00°. The distinct sites, in fractional coordinates, are Pa at (0.0000, 0.0000, 0.1596), In at (0.0000, 0.5000, 0.0000), In at (0.0000, 0.5000, 0.3251), In at (0.5000, 0.5000, 0.1599), In at (0.5000, 0.5000, 0.5000) and Bi at (0.0000, 0.0000, 0.5000).



No. 3
Here is a geometry-optimized AgTe2Br structure from Alexandria via LeMat-Bulk. Energies are from GGA-PBE.

The uncorrected formation energy is -0.34 eV/f.u.

It has space group P4mm (No. 99), with a = 4.0548 Å, b = 4.0548 Å, c = 8.6033 Å, α = 90.00°, β = 90.00° and γ = 90.00°. The distinct sites, in fractional coordinates, are Ag at (0.0000, 0.0000, 0.0000), Te at (0.0000, 0.0000, 0.3353), Te at (0.5000, 0.5000, 0.4400) and Br at (0.5000, 0.5000, 0.9408).



no.,theoretical density (g cm⁻³)
1,13.82
2,9.04
3,5.20